No. 1
{"formula": "LiScSeBr2", "functional": "PBEsol", "state": "relaxed", "energy_ev_per_cell": -22.471, "raw_formation_energy_ev_per_atom": -1.26, "relative_energy_mev_per_atom": 0.0, "density_g_cm3": 3.39, "lattice": [[-0.829, -3.951, 3.135], [4.959, 0.370, 1.778], [-1.601, 3.330, 3.773]], "species": ["Sc", "Se", "Br", "Br", "Li"], "frac_coords": [[0.000, 0.000, 0.000], [0.500, 0.000, 0.000], [0.000, 0.000, 0.500], [0.000, 0.500, 0.000], [0.500, 0.500, 0.500]]}

No. 2
{"formula": "LiScSeBr2", "functional": "PBEsol", "state": "relaxed", "energy_ev_per_cell": -19.879, "raw_formation_energy_ev_per_atom": -0.74, "relative_energy_mev_per_atom": 518.4, "density_g_cm3": 4.46, "lattice": [[4.587, 0.000, 0.000], [0.000, 4.587, 0.000], [0.000, 0.000, 5.142]], "species": ["Sc", "Se", "Br", "Br", "Li"], "frac_coords": [[0.500, 0.500, 0.500], [0.000, 0.000, 0.500], [0.000, 0.500, 0.000], [0.500, 0.000, 0.000], [0.000, 0.000, 0.000]]}

No. 3
{"formula": "LiSc2TeBr", "functional": "PBEsol", "state": "relaxed", "energy_ev_per_cell": -21.413, "raw_formation_energy_ev_per_atom": -0.17, "density_g_cm3": 3.56, "lattice": [[-2.009, 4.362, -0.776], [-0.616, -1.215, -5.230], [-4.883, -2.062, 1.054]], "species": ["Sc", "Sc", "Te", "Br", "Li"], "frac_coords": [[0.000, 0.000, 0.500], [0.000, 0.500, 0.000], [0.000, 0.000, 0.000], [0.500, 0.500, 0.500], [0.500, 0.000, 0.000]]}

No. 4
{"formula": "LiSe2Br", "functional": "PBEsol", "state": "relaxed", "energy_ev_per_cell": -12.206, "raw_formation_energy_ev_per_atom": -0.17, "relative_energy_mev_per_atom": 457.2, "density_g_cm3": 4.73, "lattice": [[-2.755, 0.366, 0.936], [-1.722, -2.333, 0.438], [2.141, -1.284, 11.397]], "species": ["Br", "Se", "Se", "Li"], "frac_coords": [[0.500, 0.500, 0.500], [0.274, 0.274, 0.178], [0.726, 0.726, 0.822], [0.000, 0.000, 0.000]]}

No. 5
{"formula": "Li2SeBr", "functional": "PBEsol", "state": "relaxed", "energy_ev_per_cell": -13.961, "raw_formation_energy_ev_per_atom": -1.08, "relative_energy_mev_per_atom": 0.0, "density_g_cm3": 3.88, "lattice": [[3.444, -0.013, 0.007], [-1.485, 3.107, -0.007], [-1.669, -1.111, 6.921]], "species": ["Se", "Br", "Li", "Li"], "frac_coords": [[0.500, 0.500, 0.000], [0.500, 0.000, 0.500], [0.009, 0.256, 0.266], [0.991, 0.744, 0.734]]}

No. 6
{"formula": "Li2SeBr", "functional": "PBEsol", "state": "relaxed", "energy_ev_per_cell": -12.987, "raw_formation_energy_ev_per_atom": -0.83, "relative_energy_mev_per_atom": 243.5, "density_g_cm3": 3.82, "lattice": [[4.737, 0.000, 0.000], [2.368, 4.102, 0.000], [2.368, 1.367, 3.867]], "species": ["Se", "Br", "Li", "Li"], "frac_coords": [[0.500, 0.500, 0.500], [0.000, 0.000, 0.000], [0.250, 0.250, 0.250], [0.750, 0.750, 0.750]]}

Repeat the first record exactly.
{"formula": "LiScSeBr2", "functional": "PBEsol", "state": "relaxed", "energy_ev_per_cell": -22.471, "raw_formation_energy_ev_per_atom": -1.26, "relative_energy_mev_per_atom": 0.0, "density_g_cm3": 3.39, "lattice": [[-0.829, -3.951, 3.135], [4.959, 0.370, 1.778], [-1.601, 3.330, 3.773]], "species": ["Sc", "Se", "Br", "Br", "Li"], "frac_coords": [[0.000, 0.000, 0.000], [0.500, 0.000, 0.000], [0.000, 0.000, 0.500], [0.000, 0.500, 0.000], [0.500, 0.500, 0.500]]}

Copy entry 6 word for word.
{"formula": "Li2SeBr", "functional": "PBEsol", "state": "relaxed", "energy_ev_per_cell": -12.987, "raw_formation_energy_ev_per_atom": -0.83, "relative_energy_mev_per_atom": 243.5, "density_g_cm3": 3.82, "lattice": [[4.737, 0.000, 0.000], [2.368, 4.102, 0.000], [2.368, 1.367, 3.867]], "species": ["Se", "Br", "Li", "Li"], "frac_coords": [[0.500, 0.500, 0.500], [0.000, 0.000, 0.000], [0.250, 0.250, 0.250], [0.750, 0.750, 0.750]]}

Q: Which formula does entry 3 have?
A: LiSc2TeBr